First-principles (PBE-GGA) data for NdBeGe after structural relaxation, as listed in the Alexandria database.

abc: 3.990 4.271 6.993
angles: 90.00 90.00 90.00
Space group Pmmm (No. 47)
Inequivalent atoms, fractional coordinates:
Nd  0.000  0.000  0.000 (multiplicity 1)
Nd  0.500  0.000  0.500 (multiplicity 1)
Be  0.000  0.500  0.342 (multiplicity 2)
Ge  0.500  0.500  0.182 (multiplicity 2)

Summary:
calculated formation energy = -0.55 eV per atom
DOS(E_F) = 3.46 states/eV per cell